Material: KNa2Br3
Method: DFT, PBE
State: optimized geometry

Results
DOS(E_F): 0.0 states/eV per cell
ΔE to the lowest computed polymorph: 0.1307 eV/atom

a = 9.8395 Å, b = 14.7212 Å, c = 6.7446 Å
α = 90.00°, β = 90.00°, γ = 90.00°
Space group Cmcm (No. 63)
Asymmetric unit:
K (0.0000, 0.2454, 0.2500) [4 per cell]
Na (0.1886, 0.0000, 0.0000) [8 per cell]
Br (0.0000, 0.0966, 0.7500) [4 per cell]
Br (0.2109, 0.3654, 0.7500) [8 per cell]

Material: BaTiSe2N
Method: DFT, PBE
State: optimized geometry

Results
DOS(E_F): 2.2 states/eV per cell
ΔE to the lowest computed polymorph: 0.0000 eV/atom

a = 5.2915 Å, b = 5.2915 Å, c = 3.9698 Å
α = 90.00°, β = 90.00°, γ = 90.00°
Space group P4/mmm (No. 123)
Asymmetric unit:
Ba (0.0000, 0.0000, 0.0000) [1 per cell]
Ti (0.5000, 0.5000, 0.5000) [1 per cell]
Se (0.0000, 0.5000, 0.5000) [2 per cell]
N (0.5000, 0.5000, 0.0000) [1 per cell]

Copy entry 1 word for word.
Material: KNa2Br3
Method: DFT, PBE
State: optimized geometry

Results
DOS(E_F): 0.0 states/eV per cell
ΔE to the lowest computed polymorph: 0.1307 eV/atom

a = 9.8395 Å, b = 14.7212 Å, c = 6.7446 Å
α = 90.00°, β = 90.00°, γ = 90.00°
Space group Cmcm (No. 63)
Asymmetric unit:
K (0.0000, 0.2454, 0.2500) [4 per cell]
Na (0.1886, 0.0000, 0.0000) [8 per cell]
Br (0.0000, 0.0966, 0.7500) [4 per cell]
Br (0.2109, 0.3654, 0.7500) [8 per cell]

Among the records above, which one has the highest ΔE to the lowest computed polymorph? KNa2Br3

Which of these has the lowest ΔE to the lowest computed polymorph? BaTiSe2N